VASP calculation (PBE with a Hubbard U) on a relaxed structure of V2ZnO4.

Cell lengths 6.112, 6.112, 6.112 Å; angles 121.09, 120.55, 88.59 degrees
Each line ends with the local moment (μB).
Fractional coordinates of all 14 atoms:
O: 0.228 0.737 0.490  -0.01
O: 0.253 0.271 0.518  -0.04
O: 0.253 0.263 0.990  -0.01
O: 0.772 0.263 0.510  -0.01
O: 0.253 0.734 0.982  -0.04
O: 0.747 0.266 0.018  -0.04
O: 0.747 0.737 0.010  -0.01
O: 0.747 0.729 0.482  -0.04
V: 0.000 0.500 0.500  1.94
V: 0.383 0.133 0.250  1.94
V: 0.617 0.867 0.750  1.94
V: 0.500 0.500 0.000  1.94
Zn: 0.000 0.500 0.000  0.01
Zn: 0.000 0.000 0.500  0.01

polymorph energy (0 for the lowest one) = 110 meV per atom
space group = Imma